Material: ScGePd3
Method: DFT, PBE
State: relaxed

a = 6.3501 Å, b = 6.3501 Å, c = 8.9240 Å
α = 90.00°, β = 90.00°, γ = 104.87°
Closest atoms and distances in Å follow each position.
Positions (direct):
Sc 0.1120 0.8880 0.7500  6 Pd 2.73-3.00
Sc 0.3798 0.6202 0.2500  8 Pd 2.89-3.11, 4 Ge 3.23
Sc 0.6202 0.3798 0.7500  8 Pd 2.89-3.11, 4 Ge 3.23
Sc 0.8880 0.1120 0.2500  6 Pd 2.73-3.00
Ge 0.0000 0.5000 0.0000  6 Pd 2.47-2.58
Ge 0.0000 0.5000 0.5000  6 Pd 2.47-2.58
Ge 0.5000 0.0000 0.0000  6 Pd 2.47-2.58
Ge 0.5000 0.0000 0.5000  6 Pd 2.47-2.58
Pd 0.1188 0.8812 0.0860  2 Ge 2.47, 1 Sc 2.75
Pd 0.1188 0.8812 0.4140  2 Ge 2.47, 1 Sc 2.75
Pd 0.1627 0.4734 0.7500  2 Ge 2.48, 2 Pd 2.72, 1 Sc 2.73
Pd 0.3209 0.3209 0.0000  2 Ge 2.58, 5 Pd 2.72-2.86
Pd 0.3209 0.3209 0.5000  2 Ge 2.58, 5 Pd 2.72-2.86
Pd 0.4734 0.1627 0.2500  2 Ge 2.48, 2 Pd 2.72, 1 Sc 2.73
Pd 0.5266 0.8373 0.7500  2 Ge 2.48, 2 Pd 2.72, 1 Sc 2.73
Pd 0.6791 0.6791 0.0000  2 Ge 2.58, 5 Pd 2.72-2.86
Pd 0.6791 0.6791 0.5000  2 Ge 2.58, 5 Pd 2.72-2.86
Pd 0.8373 0.5266 0.2500  2 Ge 2.48, 2 Pd 2.72, 1 Sc 2.73
Pd 0.8812 0.1188 0.5860  2 Ge 2.47, 1 Sc 2.75
Pd 0.8812 0.1188 0.9140  2 Ge 2.47, 1 Sc 2.75

Values from the calculation:
Size of the total moment, μB per cell: 0.00
Fermi-level density of states, states/eV/f.u.: 2.3
Space group: Cmcm, No. 63
Calculated formation energy, eV/f.u.: -3.09
Mass density, Mg/m³: 8.343
Distance to the lowest polymorph of the same formula, eV/atom: 0.000
Crystal system: orthorhombic